Below is Ta3Rh after structural relaxation, with properties calculated at the PBE level.

Calculated values
N(E_F) = 4.3 states/eV/cell
final energy = -10.757 eV/atom
ΔH_f (0 K) = -0.03 eV/atom
spin magnetization = 0.00 μB/f.u.

Cell lengths 9.2126, 9.2126, 9.2126 Å; angles 18.76, 18.76, 18.76 degrees
With the nearest neighbours (Å) after each atom.
Positions (direct):
1 Ta 0.7456 0.7456 0.7456  3 Rh 2.76, 9 Ta 2.95-3.00
2 Ta 0.5000 0.5000 0.5000  12 Ta 2.95-3.00
3 Ta 0.2544 0.2544 0.2544  3 Rh 2.76, 9 Ta 2.95-3.00
4 Rh 0.0000 0.0000 0.0000  6 Ta 2.76, 6 Rh 3.00